# Sr2BePt2

A relaxed Sr2BePt2 crystal (GGA-PBE, the Alexandria database).

Results
formation energy: -1.87 eV per formula unit

Cell: 6.957 6.957 4.676 Å, 90.00 90.00 90.00°
Positions (direct):
Sr (0.171, 0.671, 0.500)
Sr (0.671, 0.829, 0.500)
Sr (0.829, 0.329, 0.500)
Sr (0.329, 0.171, 0.500)
Pt (0.356, 0.856, 0.000)
Pt (0.856, 0.644, 0.000)
Pt (0.644, 0.144, 0.000)
Pt (0.144, 0.356, 0.000)
Be (0.000, 0.000, 0.000)
Be (0.500, 0.500, 0.000)